The following is a GGA-PBEsol calculation of LiSi2Tc after structural relaxation, from the Alexandria database.

Structure (POSCAR):
```
LiSi2Tc
1.0
-0.972 -0.666 -2.849
3.581 0.094 -1.244
0.912 -4.090 2.314
Si Tc Li
2 1 1
Cartesian
1.823 -0.294 -0.554
0.174 -1.812 0.365
0.409 -4.254 0.856
1.539 -2.725 -1.556
```

Calculated values
As for the total energy: -6.45 eV per atom. For the calculated density, the calculation gives 5.05 g cm⁻³. The calculation puts the density of states at the Fermi level at 1.84 states/eV/cell. The calculation puts the formation energy without anion corrections at -265 meV per atom. The calculation puts the polymorph energy (0 for the lowest one) at 0.000 eV per formula unit. Its volume is 53.0 Å³/cell. As for the size of the total moment: 0.00 μB/atom.